# CaZnBr2

An optimized crystal structure of CaZnBr2 (PBE, Alexandria via LeMat-Bulk).

Properties
energy relative to the lowest polymorph listed for this composition = 0.7243 eV per atom
crystal system = trigonal
total magnetic moment = 0.00 μB per cell
E_tot = -2.2072 eV/atom
formation energy (no corrections) = -0.552 eV/atom
density of states at the Fermi level = 0.62 states/eV/atom

Unit cell a=9.199 b=9.199 c=9.199 alpha=25.43 beta=25.43 gamma=25.43
Element x y z (fractional)
Br: 0.892 0.892 0.892
Zn: 0.500 0.500 0.500
Br: 0.108 0.108 0.108
Ca: 0.000 0.000 0.000